[1]
Cr3Mo5H12 GGA-PBE relaxed; size of the total moment = 27.21 μB/cell; SG = Ia-3d, No. 230; density of states at the Fermi level = 44.592 states/eV/cell; total DFT energy (no corrections) = -6.013 eV/atom
1.0
9.2800 0.0000 0.0000
-3.0933 8.7493 0.0000
-3.0933 -4.3746 7.5771
Mo H Cr
20 48 12
direct
0.0000 0.0000 0.5000 Mo
0.3750 0.1250 0.7500 Mo
0.0000 0.5000 0.0000 Mo
0.2500 0.8750 0.1250 Mo
0.5000 0.0000 0.5000 Mo
0.7500 0.1250 0.8750 Mo
0.8750 0.6250 0.7500 Mo
0.0000 0.5000 0.5000 Mo
0.3750 0.2500 0.1250 Mo
0.2500 0.3750 0.6250 Mo
0.8750 0.2500 0.6250 Mo
0.6250 0.8750 0.2500 Mo
0.5000 0.0000 0.0000 Mo
0.1250 0.3750 0.2500 Mo
0.0000 0.0000 0.0000 Mo
0.5000 0.5000 0.5000 Mo
0.1250 0.7500 0.3750 Mo
0.5000 0.5000 0.0000 Mo
0.7500 0.6250 0.3750 Mo
0.6250 0.7500 0.8750 Mo
0.4283 0.6588 0.0794 H
0.4205 0.2695 0.3412 H
0.0795 0.9206 0.3489 H
0.9205 0.0794 0.6511 H
0.4206 0.0717 0.3412 H
0.6511 0.0717 0.2305 H
0.9206 0.0795 0.8489 H
0.0794 0.1588 0.4283 H
0.4206 0.3489 0.5795 H
0.4205 0.1511 0.5794 H
0.5717 0.2305 0.1511 H
0.0795 0.1588 0.2305 H
0.3412 0.5717 0.4206 H
0.2695 0.8489 0.9283 H
0.6511 0.5794 0.9205 H
0.6588 0.4283 0.5794 H
0.8489 0.2695 0.4283 H
0.5794 0.9283 0.6588 H
0.9283 0.3489 0.2695 H
0.3412 0.7695 0.4205 H
0.4283 0.7695 0.8489 H
0.5717 0.3412 0.9206 H
0.8412 0.9205 0.2695 H
0.2305 0.6588 0.0795 H
0.0794 0.9205 0.1511 H
0.7695 0.4283 0.3489 H
0.1588 0.0794 0.9283 H
0.5795 0.7305 0.6588 H
0.1511 0.7305 0.5717 H
0.1511 0.4205 0.0794 H
0.2305 0.5717 0.6511 H
0.8489 0.5795 0.9206 H
0.9206 0.8412 0.5717 H
0.5795 0.8489 0.4206 H
0.0717 0.6511 0.7305 H
0.6588 0.2305 0.5795 H
0.3489 0.9283 0.7695 H
0.5794 0.6511 0.4205 H
0.7305 0.5795 0.1588 H
0.8412 0.9206 0.0717 H
0.0717 0.4206 0.8412 H
0.3489 0.4206 0.0795 H
0.2695 0.4205 0.8412 H
0.7695 0.3412 0.9205 H
0.9283 0.5794 0.1588 H
0.9205 0.8412 0.7695 H
0.7305 0.1511 0.0717 H
0.1588 0.0795 0.7305 H
0.8750 0.1250 0.2500 Cr
0.7500 0.8750 0.6250 Cr
0.2500 0.1250 0.3750 Cr
0.2500 0.6250 0.8750 Cr
0.1250 0.2500 0.8750 Cr
0.1250 0.8750 0.7500 Cr
0.3750 0.6250 0.2500 Cr
0.3750 0.7500 0.6250 Cr
0.6250 0.2500 0.3750 Cr
0.8750 0.7500 0.1250 Cr
0.7500 0.3750 0.1250 Cr
0.6250 0.3750 0.7500 Cr

[2]
NbCr2MoH GGA-PBE relaxed; size of the total moment = 1.01 μB/cell; SG = P4/mmm, No. 123; density of states at the Fermi level = 5.507 states/eV/cell; total DFT energy (no corrections) = -8.452 eV/atom
1.0
-2.8639 0.7395 2.2879
1.0804 -2.7829 2.2519
2.4998 2.7764 2.2317
Mo Cr Nb H
1 2 1 1
direct
0.0000 0.0000 0.5000 Mo
0.0000 0.5000 0.0000 Cr
0.5000 0.0000 0.0000 Cr
0.5000 0.5000 0.5000 Nb
0.0000 0.0000 0.0000 H

[3]
Cr2NiMoH GGA-PBE relaxed; size of the total moment = 0.00 μB/cell; SG = P4/mmm, No. 123; offset from the most stable computed form = 0.032 eV/atom; density of states at the Fermi level = 3.127 states/eV/cell; total DFT energy (no corrections) = -7.745 eV/atom
1.0
3.6862 0.0000 0.0000
0.0000 3.6862 0.0000
0.0000 0.0000 3.8517
Mo Ni Cr H
1 1 2 1
direct
0.0000 0.0000 0.5000 Mo
0.5000 0.5000 0.5000 Ni
0.0000 0.5000 0.0000 Cr
0.5000 0.0000 0.0000 Cr
0.0000 0.0000 0.0000 H

[4]
CrNiMo2H GGA-PBE relaxed; size of the total moment = 0.00 μB/cell; SG = P4/mmm, No. 123; offset from the most stable computed form = 0.003 eV/atom; density of states at the Fermi level = 2.896 states/eV/cell; total DFT energy (no corrections) = -7.989 eV/atom
1.0
-0.0186 3.1229 2.3542
-3.7560 -0.6701 0.8593
1.0324 -2.1386 2.8450
H Mo Ni Cr
1 2 1 1
direct
0.0000 0.0000 0.0000 H
0.5000 0.0000 0.0000 Mo
0.0000 0.5000 0.0000 Mo
0.5000 0.5000 0.5000 Ni
0.0000 0.0000 0.5000 Cr

[5]
Cr2NiMoH GGA-PBE relaxed; size of the total moment = 0.00 μB/cell; SG = P4/mmm, No. 123; offset from the most stable computed form = 0.000 eV/atom; density of states at the Fermi level = 4.359 states/eV/cell; total DFT energy (no corrections) = -7.777 eV/atom
1.0
3.8147 0.0000 0.0000
0.0000 3.8147 0.0000
0.0000 0.0000 3.5525
Cr Mo H Ni
2 1 1 1
direct
0.5000 0.0000 0.0000 Cr
0.0000 0.5000 0.0000 Cr
0.5000 0.5000 0.5000 Mo
0.0000 0.0000 0.0000 H
0.0000 0.0000 0.5000 Ni

[6]
CrNiMo2H GGA-PBE relaxed; size of the total moment = 0.00 μB/cell; SG = P4/mmm, No. 123; offset from the most stable computed form = 0.000 eV/atom; density of states at the Fermi level = 4.337 states/eV/cell; total DFT energy (no corrections) = -7.992 eV/atom
1.0
3.9717 0.0000 0.0000
0.0000 3.9717 0.0000
0.0000 0.0000 3.5797
Ni Mo Cr H
1 2 1 1
direct
0.0000 0.0000 0.5000 Ni
0.5000 0.0000 0.0000 Mo
0.0000 0.5000 0.0000 Mo
0.5000 0.5000 0.5000 Cr
0.0000 0.0000 0.0000 H

[7]
Cr2MoHOs GGA-PBE relaxed; size of the total moment = 0.00 μB/cell; SG = P4/mmm, No. 123; offset from the most stable computed form = 0.025 eV/atom; density of states at the Fermi level = 5.640 states/eV/cell; total DFT energy (no corrections) = -8.772 eV/atom
1.0
-2.8989 -1.2814 2.1732
0.7042 -3.5898 -1.1772
2.3991 -0.4851 2.9142
Mo Cr H Os
1 2 1 1
direct
0.5000 0.5000 0.5000 Mo
0.5000 0.0000 0.0000 Cr
0.0000 0.5000 0.0000 Cr
0.0000 0.0000 0.0000 H
0.0000 0.0000 0.5000 Os

[8]
Cr2MoHOs GGA-PBE relaxed; size of the total moment = 0.00 μB/cell; SG = P4/mmm, No. 123; offset from the most stable computed form = 0.996 eV/atom; density of states at the Fermi level = 6.165 states/eV/cell; total DFT energy (no corrections) = -7.801 eV/atom
1.0
4.6046 0.0000 0.0000
0.0000 3.1450 0.0000
0.0000 0.0000 4.6046
H Cr Mo Os
1 2 1 1
direct
0.0000 0.5000 0.0000 H
0.0000 0.0000 0.5000 Cr
0.5000 0.0000 0.0000 Cr
0.5000 0.5000 0.5000 Mo
0.0000 0.0000 0.0000 Os

[9]
Cr2MoHOs GGA-PBE relaxed; size of the total moment = 0.00 μB/cell; SG = P4/mmm, No. 123; offset from the most stable computed form = 0.000 eV/atom; density of states at the Fermi level = 5.465 states/eV/cell; total DFT energy (no corrections) = -8.797 eV/atom
1.0
-2.3734 -2.4438 1.7018
-0.0180 -2.1644 -3.1331
3.0244 -1.9914 1.3583
Cr Mo Os H
2 1 1 1
direct
0.0000 0.5000 0.0000 Cr
0.5000 0.0000 0.0000 Cr
0.0000 0.0000 0.5000 Mo
0.5000 0.5000 0.5000 Os
0.0000 0.0000 0.0000 H

[10]
Cr2MoHPd GGA-PBE relaxed; size of the total moment = 0.00 μB/cell; SG = P4/mmm, No. 123; density of states at the Fermi level = 3.213 states/eV/cell; total DFT energy (no corrections) = -7.600 eV/atom
1.0
3.8264 0.0000 0.0000
0.0000 3.8264 0.0000
0.0000 0.0000 3.8573
Cr H Pd Mo
2 1 1 1
direct
0.0000 0.5000 0.0000 Cr
0.5000 0.0000 0.0000 Cr
0.0000 0.0000 0.0000 H
0.5000 0.5000 0.5000 Pd
0.0000 0.0000 0.5000 Mo

[11]
CrReMo2H GGA-PBE relaxed; size of the total moment = 0.00 μB/cell; SG = P4/mmm, No. 123; density of states at the Fermi level = 4.210 states/eV/cell; total DFT energy (no corrections) = -9.229 eV/atom
1.0
-0.7705 -0.8311 -3.8678
-1.3654 -3.6424 1.0546
-3.4595 1.4087 0.3864
Cr H Mo Re
1 1 2 1
direct
0.0000 0.0000 0.5000 Cr
0.0000 0.0000 0.0000 H
0.5000 0.0000 0.0000 Mo
0.0000 0.5000 0.0000 Mo
0.5000 0.5000 0.5000 Re

[12]
Cr2ReMoH GGA-PBE relaxed; size of the total moment = 0.00 μB/cell; SG = P4/mmm, No. 123; offset from the most stable computed form = 0.000 eV/atom; density of states at the Fermi level = 4.855 states/eV/cell; total DFT energy (no corrections) = -8.990 eV/atom
1.0
3.8093 0.0000 0.0000
0.0000 3.8093 0.0000
0.0000 0.0000 3.9161
Cr H Re Mo
2 1 1 1
direct
0.0000 0.5000 0.0000 Cr
0.5000 0.0000 0.0000 Cr
0.0000 0.0000 0.0000 H
0.5000 0.5000 0.5000 Re
0.0000 0.0000 0.5000 Mo